<1>
# NbHgH

A relaxed NbHgH crystal (PBE, Alexandria via LeMat-Bulk).

abc: 4.808 3.370 11.424
angles: 90.00 90.00 90.00
Space group Pnma (No. 62)
Symmetry-distinct sites (fractional):
Nb1 0.230 0.250 0.029 (multiplicity 4)
Hg1 0.201 0.250 0.311 (multiplicity 4)
H1 0.077 0.750 0.084 (multiplicity 4)

=====

<2>
# NbHgH

A relaxed NbHgH crystal (PBE, Alexandria via LeMat-Bulk).

abc: 5.203 6.229 5.214
angles: 90.00 90.00 90.00
Space group Imma (No. 74)
Symmetry-distinct sites (fractional):
Nb1 0.000 0.250 0.002 (multiplicity 4)
Hg1 0.000 0.000 0.500 (multiplicity 4)
H1 0.250 0.250 0.750 (multiplicity 4)

=====

<3>
# NbHgH

A relaxed NbHgH crystal (PBE, Alexandria via LeMat-Bulk).

abc: 2.982 19.754 2.889
angles: 90.00 90.00 90.00
Space group Cmcm (No. 63)
Symmetry-distinct sites (fractional):
Nb1 0.000 0.187 0.250 (multiplicity 4)
Hg1 0.000 0.432 0.250 (multiplicity 4)
H1 0.000 0.292 0.250 (multiplicity 4)

=====

List of relative energies, unit kJ/mol of atoms: <1> 7.7; <2> 27.6; <3> 0.0

=====

<1>
# Nd3HgH

A relaxed Nd3HgH crystal (PBE, Alexandria via LeMat-Bulk).

abc: 7.072 3.750 10.020
angles: 90.00 100.62 90.00
Space group P2_1/m (No. 11)
Symmetry-distinct sites (fractional):
Nd1 0.091 0.250 0.374 (multiplicity 2)
Nd2 0.224 0.250 0.913 (multiplicity 2)
Nd3 0.400 0.750 0.641 (multiplicity 2)
Hg1 0.287 0.750 0.176 (multiplicity 2)
H1 0.162 0.250 0.647 (multiplicity 2)

=====

<2>
# Nd3HgH

A relaxed Nd3HgH crystal (PBE, Alexandria via LeMat-Bulk).

abc: 4.988 4.988 4.988
angles: 90.00 90.00 90.00
Space group Pm-3m (No. 221)
Symmetry-distinct sites (fractional):
Nd1 0.000 0.000 0.500 (multiplicity 3)
Hg1 0.500 0.500 0.500 (multiplicity 1)
H1 0.000 0.000 0.000 (multiplicity 1)

=====

List of relative energies, unit kJ/mol of atoms: <1> 0.0; <2> 1.7

=====

<1>
# Nd2HgH

A relaxed Nd2HgH crystal (PBE, Alexandria via LeMat-Bulk).

abc: 3.7393 3.7393 23.5655
angles: 90.00 90.00 120.00
Space group R-3m (No. 166, hexagonal axes)
Symmetry-distinct sites (fractional):
Nd1 0.0000 0.0000 0.2278 (multiplicity 6)
Hg1 0.0000 0.0000 0.0000 (multiplicity 3)
H1 0.0000 0.0000 0.5000 (multiplicity 3)

=====

<2>
# Nd2HgH

A relaxed Nd2HgH crystal (PBE, Alexandria via LeMat-Bulk).

abc: 3.7712 3.7712 7.7715
angles: 90.00 90.00 120.00
Space group P-3m1 (No. 164)
Symmetry-distinct sites (fractional):
Nd1 0.3333 0.6667 0.1833 (multiplicity 2)
Hg1 0.0000 0.0000 0.5000 (multiplicity 1)
H1 0.0000 0.0000 0.0000 (multiplicity 1)

=====

List of relative energies, unit kJ/mol of atoms: <1> 0.7; <2> 0.0

=====

<1>
# Ni2HgH

A relaxed Ni2HgH crystal (PBE, Alexandria via LeMat-Bulk).

abc: 2.8808 2.8808 18.9100
angles: 90.00 90.00 120.00
Space group R-3m (No. 166, hexagonal axes)
Symmetry-distinct sites (fractional):
Ni1 0.0000 0.0000 0.2168 (multiplicity 6)
Hg1 0.0000 0.0000 0.0000 (multiplicity 3)
H1 0.0000 0.0000 0.5000 (multiplicity 3)

=====

<2>
# Ni2HgH

A relaxed Ni2HgH crystal (PBE, Alexandria via LeMat-Bulk).

abc: 5.306 5.306 6.730
angles: 90.00 90.00 90.00
Space group I-42d (No. 122)
Symmetry-distinct sites (fractional):
Ni1 0.065 0.750 0.125 (multiplicity 8)
Hg1 0.000 0.000 0.500 (multiplicity 4)
H1 0.000 0.000 0.000 (multiplicity 4)

=====

List of relative energies, unit kJ/mol of atoms: <1> 5.8; <2> 0.0

=====

<1>
# NiHgH

A relaxed NiHgH crystal (PBE, Alexandria via LeMat-Bulk).

abc: 3.022 2.951 8.428
angles: 90.00 100.25 90.00
Space group P2_1/m (No. 11)
Symmetry-distinct sites (fractional):
Ni1 0.199 0.250 0.399 (multiplicity 2)
Hg1 0.416 0.250 0.832 (multiplicity 2)
H1 0.252 0.750 0.503 (multiplicity 2)

=====

<2>
# NiHgH

A relaxed NiHgH crystal (PBE, Alexandria via LeMat-Bulk).

abc: 4.627 3.478 9.524
angles: 90.00 102.92 90.00
Space group Cm (No. 8)
Symmetry-distinct sites (fractional):
Ni1 0.000 0.000 0.000 (multiplicity 2)
Ni2 0.101 0.500 0.195 (multiplicity 2)
Hg1 0.065 0.000 0.435 (multiplicity 2)
Hg2 0.230 0.000 0.758 (multiplicity 2)
H1 0.135 0.500 0.019 (multiplicity 2)
H2 0.216 0.000 0.173 (multiplicity 2)

=====

List of relative energies, unit kJ/mol of atoms: <1> 0.0; <2> 6.9

=====

<1>
# NiHgH

A relaxed NiHgH crystal (PBE, Alexandria via LeMat-Bulk).

abc: 9.030 5.020 3.681
angles: 90.00 113.52 90.00
Space group C2/m (No. 12)
Symmetry-distinct sites (fractional):
Ni1 0.000 0.249 0.000 (multiplicity 4)
Hg1 0.196 0.500 0.695 (multiplicity 4)
H1 0.000 0.000 0.268 (multiplicity 4)

=====

<2>
# NiHgH

A relaxed NiHgH crystal (PBE, Alexandria via LeMat-Bulk).

abc: 2.831 4.313 6.838
angles: 82.06 89.49 89.97
Space group P-1 (No. 2)
Symmetry-distinct sites (fractional):
Ni1 0.000 0.000 0.000 (multiplicity 1)
Ni2 0.500 0.500 0.000 (multiplicity 1)
Hg1 0.007 0.709 0.660 (multiplicity 2)
H1 0.498 0.814 0.103 (multiplicity 2)

=====

List of relative energies, unit kJ/mol of atoms: <1> 6.0; <2> 0.0

=====

<1>
# NiHgH

A relaxed NiHgH crystal (PBE, Alexandria via LeMat-Bulk).

abc: 2.800 6.895 4.260
angles: 90.00 90.00 90.00
Space group Pmn2_1 (No. 31)
Symmetry-distinct sites (fractional):
Ni1 0.000 0.007 0.000 (multiplicity 2)
Hg1 0.000 0.653 0.644 (multiplicity 2)
H1 0.000 0.094 0.641 (multiplicity 2)

=====

<2>
# NiHgH

A relaxed NiHgH crystal (PBE, Alexandria via LeMat-Bulk).

abc: 2.9785 2.9785 4.5925
angles: 90.00 90.00 120.00
Space group P-6m2 (No. 187)
Symmetry-distinct sites (fractional):
Ni1 0.0000 0.0000 0.0000 (multiplicity 1)
Hg1 0.3333 0.6667 0.5000 (multiplicity 1)
H1 0.6667 0.3333 0.0000 (multiplicity 1)

=====

List of relative energies, unit kJ/mol of atoms: <1> 0.0; <2> 7.1